A relaxed structure of Dy4SbPb2, computed with GGA-PBE.

Unit cell a=6.174 b=6.558 c=10.343 alpha=90.00 beta=99.20 gamma=90.00
Positions (direct):
Dy  0.030  0.250  0.158
Dy  0.137  0.750  0.448
Dy  0.427  0.006  0.731
Dy  0.427  0.494  0.731
Dy  0.573  0.506  0.269
Dy  0.573  0.994  0.269
Dy  0.863  0.250  0.552
Dy  0.970  0.750  0.842
Sb  0.050  0.750  0.157
Sb  0.950  0.250  0.843
Pb  0.309  0.250  0.455
Pb  0.491  0.250  0.006
Pb  0.509  0.750  0.994
Pb  0.691  0.750  0.545

Results
**M_tot**: 0.00 μB/f.u.
**Energy relative to the elements, uncorrected**: -3.545 eV/f.u.
**DFT total energy**: -66.99 eV/cell

---

A relaxed structure of Tc3BiN, computed with GGA-PBE.

Unit cell a=4.184 b=4.184 c=4.184 alpha=90.00 beta=90.00 gamma=90.00
Positions (direct):
Tc  0.000  0.000  0.500
Tc  0.000  0.500  0.000
Tc  0.500  0.000  0.000
Bi  0.500  0.500  0.500
N  0.000  0.000  0.000

Results
**M_tot**: 0.33 μB/f.u.
**Energy relative to the elements, uncorrected**: 1.784 eV/f.u.
**DFT total energy**: -41.52 eV/cell

---

A relaxed structure of KMnCl3, computed with GGA-PBE.

Unit cell a=6.650 b=7.559 c=7.614 alpha=60.97 beta=77.62 gamma=67.89
Positions (direct):
K  0.129  0.127  0.149
K  0.871  0.873  0.851
Mn  0.350  0.368  0.479
Mn  0.650  0.632  0.521
Cl  0.212  0.497  0.174
Cl  0.262  0.674  0.551
Cl  0.318  0.059  0.756
Cl  0.682  0.941  0.244
Cl  0.738  0.326  0.449
Cl  0.788  0.503  0.826

Results
**M_tot**: 5.00 μB/f.u.
**Energy relative to the elements, uncorrected**: -7.172 eV/f.u.
**DFT total energy**: -45.96 eV/cell